# Ba2GaAu4 (PBE-GGA, optimized geometry)
data_Ba2GaAu4
_symmetry_space_group_name_H-M 'I 4/m m m'
_symmetry_Int_Tables_number 139
_symmetry_space_group_name_Hall '-I 4 2'
_cell_length_a 5.011
_cell_length_b 5.011
_cell_length_c 16.972
_cell_angle_alpha 90.00
_cell_angle_beta 90.00
_cell_angle_gamma 90.00
loop_
_atom_site_label
_atom_site_fract_x
_atom_site_fract_y
_atom_site_fract_z
Ba1 0.000 0.000 0.143
Ga1 0.000 0.000 0.500
Au1 0.000 0.000 0.342
Au2 0.000 0.500 0.000
# DFT formation energy ... -0.53 eV per atom
# Fermi-level density of states ... 0.53 states/eV/atom
# Calculated total energy ... -47.39 eV per cell

=====

# Ce4SnGeC (PBE-GGA, optimized geometry)
data_Ce4SnGeC
_symmetry_space_group_name_H-M 'C m c m'
_symmetry_Int_Tables_number 63
_symmetry_space_group_name_Hall '-C 2c 2'
_cell_length_a 6.845
_cell_length_b 15.852
_cell_length_c 6.859
_cell_angle_alpha 90.00
_cell_angle_beta 90.00
_cell_angle_gamma 90.00
loop_
_atom_site_label
_atom_site_fract_x
_atom_site_fract_y
_atom_site_fract_z
Ce1 0.000 0.080 0.250
Ce2 0.000 0.408 0.250
Ce3 0.250 0.250 0.000
Sn1 0.000 0.392 0.750
Ge1 0.000 0.118 0.750
C1 0.000 0.240 0.250
# DFT formation energy ... -0.46 eV per atom
# Fermi-level density of states ... 2.31 states/eV/atom
# Calculated total energy ... -179.12 eV per cell

=====

# Ca3RuS (PBE-GGA, optimized geometry)
data_Ca3RuS
_symmetry_space_group_name_H-M 'P m -3 m'
_symmetry_Int_Tables_number 221
_symmetry_space_group_name_Hall '-P 4 2 3'
_cell_length_a 5.276
_cell_length_b 5.276
_cell_length_c 5.276
_cell_angle_alpha 90.00
_cell_angle_beta 90.00
_cell_angle_gamma 90.00
loop_
_atom_site_label
_atom_site_fract_x
_atom_site_fract_y
_atom_site_fract_z
Ca1 0.000 0.000 0.500
Ru1 0.000 0.000 0.000
S1 0.500 0.500 0.500
# Fermi-level density of states ... 0.00 states/eV/atom
# E_form (uncorrected) ... -123 meV per atom
# Calculated total energy ... -20.02 eV per cell

=====

# NiRu2 (PBE-GGA, optimized geometry)
data_NiRu2
_symmetry_space_group_name_H-M 'I 4/m c m'
_symmetry_Int_Tables_number 140
_symmetry_space_group_name_Hall '-I 4 2c'
_cell_length_a 5.922
_cell_length_b 5.922
_cell_length_c 4.515
_cell_angle_alpha 90.00
_cell_angle_beta 90.00
_cell_angle_gamma 90.00
loop_
_atom_site_label
_atom_site_fract_x
_atom_site_fract_y
_atom_site_fract_z
Ni1 0.000 0.000 0.250
Ru1 0.148 0.352 0.000
# DFT formation energy ... 0.29 eV per atom
# Fermi-level density of states ... 1.55 states/eV/atom
# Calculated total energy ... -93.84 eV per cell

=====

Short version: theoretical density = 8.82 6.82 2.86 10.94 g/cm3, in the order given.